No. 1
The following is a PBE calculation of crystalline Ac4NdRh at its relaxed geometry, from the Alexandria database.

The formation energy comes out at -181 meV per atom. The symmetry is No. 12.

Cell and atoms, written as extended XYZ:
```
12
Lattice="9.395 -3.952 0.000 9.395 3.952 0.000 -2.357 0.000 6.225" Properties=species:S:1:pos:R:3 pbc="T T T"
Ac 6.323 1.966 2.402
Ac 9.395 2.160 0.000
Ac 4.107 0.000 5.128
Ac 10.110 1.966 3.824
Ac 6.323 -1.966 2.402
Ac 12.326 0.000 1.097
Ac 9.395 -2.160 0.000
Ac 10.110 -1.966 3.824
Nd 3.229 0.000 1.237
Nd 13.204 0.000 4.989
Rh 8.675 0.000 1.782
Rh 7.758 0.000 4.444
```

***

No. 2
The following is a PBE calculation of crystalline Al2SeCl at its relaxed geometry, from the Alexandria database.

For the energy relative to the lowest polymorph listed for this composition, the calculation gives 112 meV per atom. The calculation puts the uncorrected formation energy at -0.523 eV per atom. The symmetry is No. 8.

Cell and atoms, written as extended XYZ:
```
8
Lattice="11.072 0.000 0.000 0.000 3.519 0.000 -1.460 0.000 5.413" Properties=species:S:1:pos:R:3 pbc="T T T"
Al 0.000 0.000 0.000
Al 0.561 1.760 4.697
Al 5.536 1.760 0.000
Al 6.097 0.000 4.697
Se 2.431 0.000 4.504
Se 7.967 1.760 4.504
Cl -0.272 0.000 2.211
Cl 5.264 1.760 2.211
```

***

VASP energy for the records above, in order: -4.9398; -3.7268 eV/atom